Here is a geometry-optimized Cs5ZnTeO2 structure from the Alexandria database. Energies are from PBE-GGA.

```
data_Cs5ZnTeO2
_chemical_formula_sum 'Cs5 Zn1 Te1 O2'
_cell_length_a 6.0822
_cell_length_b 6.0822
_cell_length_c 10.0884
_cell_angle_alpha 90.00
_cell_angle_beta 90.00
_cell_angle_gamma 90.00
_space_group_name_H-M_alt 'P 4/m m m'
_space_group_IT_number 123
_space_group_name_Hall '-P 4 2'
loop_
_atom_site_label
_atom_site_fract_x
_atom_site_fract_y
_atom_site_fract_z
_atom_site_occupancy
Cs1 0.0000 0.0000 0.0000 1
Cs2 0.0000 0.5000 0.2706 1
Zn1 0.0000 0.0000 0.5000 1
Te1 0.5000 0.5000 0.0000 1
O1 0.0000 0.0000 0.3216 1
```

Calculated values
crystal system	tetragonal
calculated total energy	-27.9	eV for the cell shown
formation energy (no corrections)	-1032	meV/atom
total moment	0.773	μB/cell
V	41.47	A^3/atom

Here is a geometry-optimized ErAgAu structure from the Alexandria database. Energies are from PBE-GGA.

```
data_ErAgAu
_chemical_formula_sum 'Er1 Ag1 Au1'
_cell_length_a 4.7102
_cell_length_b 4.7102
_cell_length_c 3.3902
_cell_angle_alpha 90.00
_cell_angle_beta 90.00
_cell_angle_gamma 120.00
_space_group_name_H-M_alt 'P 3 m 1'
_space_group_IT_number 156
_space_group_name_Hall 'P 3 -2"'
loop_
_atom_site_label
_atom_site_fract_x
_atom_site_fract_y
_atom_site_fract_z
_atom_site_occupancy
Er1 0.0000 0.0000 0.0000 1
Ag1 0.3333 0.6667 0.4993 1
Au1 0.6667 0.3333 0.5008 1
```

Calculated values
crystal system	trigonal
calculated total energy	-12.3	eV for the cell shown
formation enthalpy at 0 K	-1.561	eV per formula unit
total moment	0.000	μB/cell
V	21.71	A^3/atom

Question: The highest V belongs to which entry?
Answer: Cs5ZnTeO2

Question: Which value of V does entry 1 give?
Answer: 41.47 A^3/atom